No. 1
A plane-wave DFT calculation with PBE was carried out for an optimized crystal structure of SiNiW2.

Lattice parameters (Å, degrees): 3.212 3.212 5.487 90.00 90.00 90.00
Fractional coordinates of all 4 atoms:
Si1 0.000 0.000 0.000
Ni1 0.500 0.500 0.779
W1 0.000 0.000 0.520
W2 0.500 0.500 0.261

The value obtained for the formation energy (no corrections) is 31 meV/atom. Its total magnetic moment is 0.00 μB per cell.

---

No. 2
A plane-wave DFT calculation with PBE was carried out for an optimized crystal structure of SiNiW2.

Lattice parameters (Å, degrees): 2.711 3.989 5.278 90.00 100.56 90.00
Fractional coordinates of all 4 atoms:
Si1 0.000 0.000 0.000
Ni1 0.000 0.000 0.500
W1 0.472 0.500 0.248
W2 0.528 0.500 0.752

The value obtained for the formation energy (no corrections) is 45 meV/atom. Its total magnetic moment is 0.00 μB per cell.

---

No. 3
A plane-wave DFT calculation with PBE was carried out for an optimized crystal structure of SiNiW2.

Lattice parameters (Å, degrees): 4.631 4.631 2.796 90.00 90.00 111.45
Fractional coordinates of all 4 atoms:
Si1 0.000 0.000 0.000
Ni1 0.500 0.500 0.000
W1 0.000 0.500 0.500
W2 0.500 0.000 0.500

The value obtained for the formation energy (no corrections) is 74 meV/atom. Its total magnetic moment is 0.00 μB per cell.

---

No. 4
A plane-wave DFT calculation with PBE was carried out for an optimized crystal structure of SiNiW2.

Lattice parameters (Å, degrees): 4.761 4.761 4.761 133.27 133.27 68.24
Fractional coordinates of all 4 atoms:
Si1 0.000 0.000 0.000
Ni1 0.750 0.250 0.500
W1 0.250 0.750 0.500
W2 0.500 0.500 0.000

The value obtained for the formation energy (no corrections) is 60 meV/atom. Its total magnetic moment is 0.00 μB per cell.

---

No. 5
A plane-wave DFT calculation with PBE was carried out for an optimized crystal structure of Si2NiW2.

Lattice parameters (Å, degrees): 5.960 5.960 3.818 90.00 90.00 90.00
Fractional coordinates of all 10 atoms:
Si1 0.136 0.364 0.000
Si2 0.364 0.864 0.000
Si3 0.636 0.136 0.000
Si4 0.864 0.636 0.000
Ni1 0.000 0.000 0.000
Ni2 0.500 0.500 0.000
W1 0.175 0.675 0.500
W2 0.325 0.175 0.500
W3 0.675 0.825 0.500
W4 0.825 0.325 0.500

The value obtained for the formation energy (no corrections) is -105 meV/atom. Its total magnetic moment is 0.00 μB per cell.

---

No. 6
A plane-wave DFT calculation with PBE was carried out for an optimized crystal structure of Si3NiW.

Lattice parameters (Å, degrees): 4.288 4.288 4.288 90.00 90.00 90.00
Fractional coordinates of all 5 atoms:
Si1 0.000 0.000 0.500
Si2 0.000 0.500 0.000
Si3 0.500 0.000 0.000
Ni1 0.000 0.000 0.000
W1 0.500 0.500 0.500

The value obtained for the formation energy (no corrections) is 994 meV/atom. The calculation puts the relative energy among the computed polymorphs at 0 meV per atom. Its total magnetic moment is 0.88 μB per cell.

---

No. 7
A plane-wave DFT calculation with PBE was carried out for an optimized crystal structure of SiNiW2.

Lattice parameters (Å, degrees): 4.788 4.788 2.711 96.25 96.25 113.22
Fractional coordinates of all 4 atoms:
Si1 0.000 0.000 0.000
Ni1 0.500 0.500 0.000
W1 0.000 0.500 0.500
W2 0.500 0.000 0.500

The value obtained for the formation energy (no corrections) is 57 meV/atom. Its total magnetic moment is 0.00 μB per cell.

---

No. 8
A plane-wave DFT calculation with PBE was carried out for an optimized crystal structure of SiNi3W.

Lattice parameters (Å, degrees): 4.107 4.107 4.107 90.00 90.00 90.00
Fractional coordinates of all 5 atoms:
Si1 0.000 0.000 0.000
Ni1 0.000 0.000 0.500
Ni2 0.000 0.500 0.000
Ni3 0.500 0.000 0.000
W1 0.500 0.500 0.500

The value obtained for the formation energy (no corrections) is 742 meV/atom. The calculation puts the relative energy among the computed polymorphs at 0 meV per atom. Its total magnetic moment is 0.88 μB per cell.

---

No. 9
A plane-wave DFT calculation with PBE was carried out for an optimized crystal structure of SiNiW2.

Lattice parameters (Å, degrees): 8.796 8.796 8.796 18.05 18.05 18.05
Fractional coordinates of all 4 atoms:
Si1 0.000 0.000 0.000
Ni1 0.736 0.736 0.736
W1 0.248 0.248 0.248
W2 0.486 0.486 0.486

The value obtained for the formation energy (no corrections) is 119 meV/atom. Its total magnetic moment is 0.00 μB per cell.

---

No. 10
A plane-wave DFT calculation with PBE was carried out for an optimized crystal structure of SiNiW2.

Lattice parameters (Å, degrees): 4.886 4.886 4.563 107.99 107.99 32.23
Fractional coordinates of all 4 atoms:
Si1 0.000 0.000 0.000
Ni1 0.297 0.297 0.703
W1 0.545 0.545 0.535
W2 0.754 0.754 0.177

The value obtained for the formation energy (no corrections) is -59 meV/atom. Its total magnetic moment is 0.00 μB per cell.

---

No. 11
A plane-wave DFT calculation with PBE was carried out for an optimized crystal structure of SiNi4W.

Lattice parameters (Å, degrees): 4.660 4.660 4.660 60.00 60.00 60.00
Fractional coordinates of all 6 atoms:
Si1 0.000 0.000 0.000
Ni1 0.375 0.375 0.375
Ni2 0.375 0.375 0.874
Ni3 0.375 0.874 0.375
Ni4 0.874 0.375 0.375
W1 0.750 0.750 0.750

The value obtained for the formation energy (no corrections) is 66 meV/atom. Its total magnetic moment is 0.77 μB per cell.

---

No. 12
A plane-wave DFT calculation with PBE was carried out for an optimized crystal structure of SiNiW2.

Lattice parameters (Å, degrees): 2.782 4.042 5.074 90.00 103.15 90.00
Fractional coordinates of all 4 atoms:
Si1 0.000 0.000 0.000
Ni1 0.910 0.500 0.768
W1 0.313 0.000 0.532
W2 0.588 0.500 0.236

The value obtained for the formation energy (no corrections) is -118 meV/atom. Its total magnetic moment is 0.00 μB per cell.